Entry from Alexandria via LeMat-Bulk: a relaxed BaCa2NdSe4 crystal (PBE).

POSCAR file:
```
BaCa2NdSe4
1.0
7.4952 0.0000 0.0000
0.0000 4.3178 0.0000
-2.4906 0.0000 7.1436
Ba Ca Nd Se
1 2 1 4
Direct
0.0000 0.0000 0.0000
0.5000 0.0000 0.5000
0.5000 0.5000 0.0000
0.0000 0.5000 0.5000
0.2600 0.0000 0.7405
0.2689 0.5000 0.2713
0.7311 0.5000 0.7287
0.7400 0.0000 0.2595
```

Summary:
* E_form (uncorrected): -1.9211 eV/atom
* space-group type: No. 10


Entry from Alexandria via LeMat-Bulk: a relaxed BaCa2NdTe4 crystal (PBE).

POSCAR file:
```
BaCa2NdTe4
1.0
7.9932 0.0000 0.0000
0.0000 4.6008 0.0000
-2.6481 0.0000 7.6152
Ba Ca Nd Te
1 2 1 4
Direct
0.0000 0.0000 0.0000
0.5000 0.0000 0.5000
0.5000 0.5000 0.0000
0.0000 0.5000 0.5000
0.2591 0.0000 0.7408
0.2680 0.5000 0.2697
0.7320 0.5000 0.7303
0.7409 0.0000 0.2592
```

Summary:
* E_form (uncorrected): -1.5772 eV/atom
* space-group type: No. 10


Entry from Alexandria via LeMat-Bulk: a relaxed BaCaNdTl crystal (PBE).

POSCAR file:
```
BaCaNdTl
1.0
0.0000 4.1949 4.1949
4.1949 0.0000 4.1949
4.1949 4.1949 0.0000
Ba Ca Nd Tl
1 1 1 1
Direct
0.0000 0.0000 0.0000
0.2500 0.2500 0.2500
0.5000 0.5000 0.5000
0.7500 0.7500 0.7500
```

Summary:
* ΔE_f: -0.06 eV/atom
* space-group type: No. 216


no.,total DFT energy (no corrections) (Ha/atom),DOS(E_F) (states/eV per cell)
1,-0.1837,2.85
2,-0.1648,2.77
3,-0.1039,4.23